PRu3Pb at its PBEsol-relaxed geometry, computed with meta-GGA SCAN.

Results
polymorph energy (0 for the lowest one) = 2098.0 meV per atom
uncorrected energy = -35.647 eV per atom

POSCAR file:
```
PRu3Pb
1.0
-4.880 0.093 -0.303
0.216 -2.432 -4.237
-0.231 -4.242 2.423
P Ru Pb
1 3 1
Cartesian
-2.447 -3.290 -1.058 P
0.108 -1.216 -2.119 Ru
-0.116 -2.121 1.212 Ru
-2.440 0.047 -0.151 Ru
0.000 0.000 0.000 Pb
```